1.
## RbHSeCl (PBE)

Data for a relaxed RbHSeCl crystal.

Lattice parameters (Å, degrees): 4.754 5.257 5.518 101.45 105.13 108.72
Fractional positions:
Se: 0.705 0.440 0.155
Rb: 0.908 0.111 0.636
Cl: 0.199 0.945 0.162
H: 0.489 0.594 0.136

Summary:
energy = -12.5 eV per formula unit
E above lowest polymorph = 1.2 kJ per mole of atoms
M_tot = 0.00 μB/atom


2.
## LiGa2F6 (PBE)

Data for a relaxed LiGa2F6 crystal.

Lattice parameters (Å, degrees): 5.168 6.936 6.936 109.23 86.51 86.51
Fractional positions:
F: 0.141 0.999 0.638
F: 0.625 0.925 0.793
F: 0.125 0.793 0.925
Li: 0.750 0.934 0.066
F: 0.485 0.325 0.584
F: 0.359 0.362 0.001
Ga: 0.825 0.829 0.539
F: 0.641 0.638 0.999
Li: 0.250 0.066 0.934
Ga: 0.325 0.539 0.829
F: 0.985 0.584 0.325
Ga: 0.175 0.171 0.461
F: 0.875 0.207 0.075
F: 0.375 0.075 0.207
F: 0.859 0.001 0.362
F: 0.015 0.416 0.675
Ga: 0.675 0.461 0.171
F: 0.515 0.675 0.416

Summary:
energy = -40.5 eV per formula unit
M_tot = 0.00 μB/atom
ΔE_f (raw) = -2.37 eV per atom


3.
## MgSnHg2Pb (PBE)

Data for a relaxed MgSnHg2Pb crystal.

Lattice parameters (Å, degrees): 4.962 4.962 6.701 90.00 90.00 120.00
Fractional positions:
Sn: 0.667 0.333 0.311
Pb: 0.000 0.000 0.982
Hg: 0.667 0.333 0.766
Mg: 0.333 0.667 0.689
Hg: 0.333 0.667 0.251

Summary:
energy of formation from the pure elements = 0.023 eV/atom
energy = -9.8 eV per formula unit
M_tot = 0.00 μB/atom


4.
## Sc2TaCd (PBE)

Data for a relaxed Sc2TaCd crystal.

Lattice parameters (Å, degrees): 5.693 5.693 5.251 71.52 71.52 32.05
Fractional positions:
Ta: 0.514 0.514 0.554
Sc: 0.983 0.983 0.064
Sc: 0.765 0.765 0.684
Cd: 0.237 0.237 0.197

Summary:
energy of formation from the pure elements = 0.064 eV/atom
energy = -25.2 eV per formula unit
M_tot = 0.00 μB/atom


5.
## PaGaSb2 (PBE)

Data for a relaxed PaGaSb2 crystal.

Lattice parameters (Å, degrees): 4.260 4.716 4.716 90.00 90.00 90.00
Fractional positions:
Sb: 0.000 0.000 0.500
Ga: 0.500 0.000 0.000
Pa: 0.500 0.500 0.500
Sb: 0.000 0.500 0.000

Summary:
energy = -22.3 eV per formula unit
E above lowest polymorph = 0.0 kJ per mole of atoms
M_tot = 0.00 μB/atom
ΔE_f (raw) = -0.39 eV per atom


6.
## ZrAl2Hg (PBE)

Data for a relaxed ZrAl2Hg crystal.

Lattice parameters (Å, degrees): 5.709 5.709 2.985 76.10 76.10 115.33
Fractional positions:
Al: 0.500 0.500 0.000
Al: 0.000 0.000 0.000
Zr: 0.000 0.500 0.500
Hg: 0.500 0.000 0.500

Summary:
energy of formation from the pure elements = -0.106 eV/atom
energy = -16.8 eV per formula unit
M_tot = 0.00 μB/atom


7.
## Ho2ZrN3 (PBE)

Data for a relaxed Ho2ZrN3 crystal.

Lattice parameters (Å, degrees): 3.368 5.855 11.215 127.66 90.00 106.72
Fractional positions:
Ho: 0.167 0.333 0.333
N: 0.750 0.500 0.250
Ho: 0.333 0.667 0.167
N: 0.922 0.843 0.079
N: 0.250 0.500 0.750
Zr: 0.500 0.000 0.000
Ho: 0.833 0.667 0.667
Zr: 0.000 0.000 0.500
N: 0.078 0.157 0.921
N: 0.422 0.843 0.579
N: 0.578 0.157 0.421
Ho: 0.667 0.333 0.833

Summary:
energy = -53.2 eV per formula unit
M_tot = 0.00 μB/atom
ΔE_f (raw) = -1.75 eV per atom


8.
## Nd3Ga2Si3 (PBE)

Data for a relaxed Nd3Ga2Si3 crystal.

Lattice parameters (Å, degrees): 4.182 5.930 15.402 90.00 90.00 110.65
Fractional positions:
Si: 0.427 0.854 0.946
Nd: 0.146 0.291 0.908
Ga: 0.143 0.286 0.379
Nd: 0.854 0.709 0.408
Nd: 0.146 0.291 0.592
Si: 0.427 0.854 0.554
Ga: 0.143 0.286 0.121
Ga: 0.857 0.714 0.621
Nd: 0.854 0.709 0.092
Si: 0.573 0.146 0.054
Ga: 0.857 0.714 0.879
Si: 0.573 0.146 0.446
Si: 0.718 0.436 0.750
Nd: 0.444 0.887 0.750
Nd: 0.556 0.113 0.250
Si: 0.282 0.564 0.250

Summary:
energy = -41.8 eV per formula unit
E above lowest polymorph = 0.0 kJ per mole of atoms
M_tot = 0.00 μB/atom
ΔE_f (raw) = -0.65 eV per atom


> Which of these has the highest energy?

MgSnHg2Pb


What did the sixth record say?
## ZrAl2Hg (PBE)

Data for a relaxed ZrAl2Hg crystal.

Lattice parameters (Å, degrees): 5.709 5.709 2.985 76.10 76.10 115.33
Fractional positions:
Al: 0.500 0.500 0.000
Al: 0.000 0.000 0.000
Zr: 0.000 0.500 0.500
Hg: 0.500 0.000 0.500

Summary:
energy of formation from the pure elements = -0.106 eV/atom
energy = -16.8 eV per formula unit
M_tot = 0.00 μB/atom


> Which value of energy does entry 8 give?

-41.8 eV per formula unit